[1]
Compound: ZrSc
Source: Alexandria via LeMat-Bulk
Functional: PBE-GGA
Structure: relaxed

```
4
Lattice="0.000 3.608 3.608 3.608 0.000 3.608 3.608 3.608 0.000" Properties=species:S:1:pos:R:3 pbc="T T T"
Zr 0.902 0.902 0.902
Zr 6.314 6.314 6.314
Sc 2.706 2.706 2.706
Sc 4.510 4.510 4.510
```

Properties
Calculated total energy = -7.317 eV per atom
ρ = 4814 kg/m3
Formation enthalpy at 0 K = 0.123 eV/atom
Size of the total moment = 1.4 Bohr magnetons per cell
Calculated volume = 46.97 Å³/f.u.

---

[2]
Compound: CuTeAs2
Source: Alexandria via LeMat-Bulk
Functional: PBE-GGA
Structure: relaxed

```
4
Lattice="3.726 0.000 0.000 0.000 3.726 0.000 0.000 0.000 6.360" Properties=species:S:1:pos:R:3 pbc="T T T"
Cu 0.000 0.000 0.000
Te 1.863 1.863 0.705
As 0.000 0.000 3.937
As 1.863 1.863 3.388
```

Properties
Calculated total energy = -4.031 eV per atom
ρ = 6413 kg/m3
Size of the total moment = 0.0 Bohr magnetons per cell
Calculated volume = 88.29 Å³/f.u.
E_form (uncorrected) = 2.37 kcal/mol of atoms

---

[3]
Compound: TmSc2Ag2Pb2
Source: Alexandria via LeMat-Bulk
Functional: PBE-GGA
Structure: relaxed

```
7
Lattice="2.393 1.382 8.342 -2.393 1.382 8.342 0.000 -2.764 8.342" Properties=species:S:1:pos:R:3 pbc="T T T"
Tm 0.000 0.000 0.000
Sc 0.000 0.000 3.405
Sc 0.000 0.000 21.621
Ag 0.000 0.000 11.092
Ag 0.000 0.000 13.933
Pb 0.000 0.000 6.675
Pb 0.000 0.000 18.351
```

Properties
Calculated total energy = -4.573 eV per atom
ρ = 8917 kg/m3
Formation enthalpy at 0 K = -0.251 eV/atom
Size of the total moment = 0.0 Bohr magnetons per cell
Calculated volume = 165.54 Å³/f.u.

---

[4]
Compound: MgAl2ReC
Source: Alexandria via LeMat-Bulk
Functional: PBE-GGA
Structure: relaxed

```
5
Lattice="4.172 0.000 0.000 0.000 4.172 0.000 0.000 0.000 4.079" Properties=species:S:1:pos:R:3 pbc="T T T"
Mg 0.000 0.000 0.000
Al 0.000 2.086 2.039
Al 2.086 0.000 2.039
Re 2.086 2.086 0.000
C 2.086 2.086 2.039
```

Properties
Calculated total energy = -5.800 eV per atom
ρ = 6467 kg/m3
Formation enthalpy at 0 K = 0.350 eV/atom
Size of the total moment = 0.0 Bohr magnetons per cell
Calculated volume = 70.99 Å³/f.u.

---

[5]
Compound: NdDy3Th2
Source: Alexandria via LeMat-Bulk
Functional: PBE-GGA
Structure: relaxed

```
12
Lattice="10.110 0.000 0.000 0.000 3.582 0.000 -0.078 0.000 10.723" Properties=species:S:1:pos:R:3 pbc="T T T"
Nd 1.225 0.896 2.683
Nd 8.806 2.687 8.040
Dy 1.287 0.896 9.842
Dy 3.719 2.687 4.474
Dy 3.735 2.687 8.044
Dy 6.296 0.896 2.679
Dy 6.312 0.896 6.249
Dy 8.745 2.687 0.881
Th 1.219 0.896 6.222
Th 3.844 2.687 0.868
Th 6.187 0.896 9.855
Th 8.812 2.687 4.501
```

Properties
Calculated total energy = -5.531 eV per atom
ρ = 9371 kg/m3
Formation enthalpy at 0 K = 0.038 eV/atom
Size of the total moment = 0.0 Bohr magnetons per cell
Calculated volume = 194.18 Å³/f.u.

---

[6]
Compound: CoAgBi2
Source: Alexandria via LeMat-Bulk
Functional: PBE-GGA
Structure: relaxed

```
4
Lattice="0.000 3.520 3.520 3.520 0.000 3.520 3.520 3.520 0.000" Properties=species:S:1:pos:R:3 pbc="T T T"
Co 0.000 0.000 0.000
Ag 3.520 3.520 3.520
Bi 1.760 1.760 1.760
Bi 5.280 5.280 5.280
```

Properties
Calculated total energy = -4.026 eV per atom
ρ = 11133 kg/m3
Formation enthalpy at 0 K = 0.404 eV/atom
Size of the total moment = 0.7 Bohr magnetons per cell
Calculated volume = 87.22 Å³/f.u.